Entry 1:
Here is an optimized crystal structure of LiErB4 from OQMD. Energies are from PBE.

Summary:
The calculation puts the calculated total energy at -34.9 eV for the cell shown. For the calculated density, the calculation gives 5.67 Mg/m³. The total magnetization comes out at 0.0 μB/f.u.

extended XYZ file:
```
6
Lattice="-1.568 2.674 3.800 1.568 -2.674 3.800 1.568 2.674 -3.800" Properties=species:S:1:pos:R:3 pbc="T T T"
B 0.000 1.734 1.947
B 1.568 -0.940 1.853
B 0.000 3.614 1.947
B 1.568 0.940 1.853
Er 0.000 0.000 0.000
Li 0.000 0.000 3.800
```

Entry 2:
Here is an optimized crystal structure of PmLuBe from OQMD. Energies are from PBE.

Summary:
The calculation puts the calculated total energy at -10.4 eV for the cell shown. For the calculated density, the calculation gives 7.27 Mg/m³. The total magnetization comes out at 0.0 μB/f.u.

extended XYZ file:
```
3
Lattice="0.000 3.349 3.349 3.349 0.000 3.349 3.349 3.349 0.000" Properties=species:S:1:pos:R:3 pbc="T T T"
Be 1.674 1.674 1.674
Lu 0.000 0.000 0.000
Pm 5.023 5.023 5.023
```